(1)
A plane-wave DFT calculation with PBE was carried out for a geometry-optimized SrEuAu2 structure.

POSCAR file:
```
SrEuAu2
1.0
5.364 0.000 0.000
2.682 4.645 0.000
2.682 1.548 4.379
Eu Sr Au
1 1 2
direct
0.500 0.500 0.500 Eu
0.000 0.000 0.000 Sr
0.250 0.250 0.250 Au
0.750 0.750 0.750 Au
```

## Properties
Energy above the lowest structure with this stoichiometry   1.1 kJ per mole of atoms
Calculated total energy   -5.376 eV per atom
ΔH_f (0 K)   -0.748 eV per atom


(2)
A plane-wave DFT calculation with PBE was carried out for a geometry-optimized SrEuAu2 structure.

POSCAR file:
```
SrEuAu2
1.0
-1.700 0.550 -3.345
-2.873 -2.219 1.096
-3.594 6.049 2.822
Eu Sr Au
1 1 2
direct
0.500 0.500 0.000 Eu
0.500 0.500 0.500 Sr
0.000 0.000 0.764 Au
0.000 0.000 0.236 Au
```

## Properties
Energy above the lowest structure with this stoichiometry   0.0 kJ per mole of atoms
Calculated total energy   -5.388 eV per atom
ΔH_f (0 K)   -0.760 eV per atom